# Cs2Ba2C3O9, single point on PBEsol structure, DFT meta-GGA SCAN
# * E: -1107.9 eV for the cell shown
# * energy relative to the elements, uncorrected: -2.242 eV per atom
# * N(E_F): 0.000 states/eV/atom
data_Cs2Ba2C3O9
_space_group_name_H-M_alt 'I 21 3'
_space_group_IT_number 199
_space_group_name_Hall 'I 2b 2c 3'
_cell_length_a 10.303
_cell_length_b 10.303
_cell_length_c 10.303
_cell_angle_alpha 90.00
_cell_angle_beta 90.00
_cell_angle_gamma 90.00
loop_
_atom_site_label
_atom_site_type_symbol
_atom_site_fract_x
_atom_site_fract_y
_atom_site_fract_z
Cs1 Cs 0.189 0.189 0.189
Ba1 Ba 0.039 0.461 0.539
C1 C 0.000 0.250 0.840
O1 O 0.000 0.250 0.966
O2 O 0.021 0.143 0.778



# BaCuCO3F2, single point on PBEsol structure, DFT meta-GGA SCAN
# * E: -436.7 eV for the cell shown
# * energy relative to the elements, uncorrected: -2.319 eV per atom
data_BaCuCO3F2
_space_group_name_H-M_alt 'P b c m'
_space_group_IT_number 57
_space_group_name_Hall '-P 2c 2b'
_cell_length_a 4.884
_cell_length_b 8.498
_cell_length_c 9.486
_cell_angle_alpha 90.00
_cell_angle_beta 90.00
_cell_angle_gamma 90.00
loop_
_atom_site_label
_atom_site_type_symbol
_atom_site_fract_x
_atom_site_fract_y
_atom_site_fract_z
Ba1 Ba 0.227 0.250 0.000
Cu1 Cu 0.253 0.587 0.250
C1 C 0.292 0.583 0.750
O1 O 0.118 0.698 0.750
O2 O 0.210 0.059 0.250
O3 O 0.447 0.115 0.750
F1 F 0.260 0.586 0.047



# BaCuH12C4O14, single point on PBEsol structure, DFT meta-GGA SCAN
# * E: -2112.4 eV for the cell shown
# * N(E_F): 0.000 states/eV/atom
data_BaCuH12C4O14
_space_group_name_H-M_alt 'C 1 2/c 1'
_space_group_IT_number 15
_space_group_name_Hall '-C 2yc'
_cell_length_a 15.897
_cell_length_b 10.498
_cell_length_c 15.279
_cell_angle_alpha 90.00
_cell_angle_beta 98.00
_cell_angle_gamma 90.00
loop_
_atom_site_label
_atom_site_type_symbol
_atom_site_fract_x
_atom_site_fract_y
_atom_site_fract_z
Ba1 Ba 0.137 0.022 0.205
Cu1 Cu 0.120 0.422 0.445
H1 H 0.030 0.134 0.543
H2 H 0.052 0.112 0.384
H3 H 0.054 0.291 0.928
H4 H 0.059 0.040 0.890
H5 H 0.094 0.306 0.729
H6 H 0.097 0.219 0.815
H7 H 0.118 0.201 0.991
H8 H 0.126 0.171 0.542
H9 H 0.161 0.447 0.279
H10 H 0.211 0.329 0.328
H11 H 0.224 0.259 0.103
H12 H 0.247 0.137 0.051
C1 C 0.024 0.337 0.151
C2 C 0.030 0.484 0.153
C3 C 0.225 0.372 0.598
C4 C 0.225 0.483 0.084
O1 O 0.032 0.458 0.893
O2 O 0.043 0.032 0.349
O3 O 0.043 0.291 0.396
O4 O 0.070 0.201 0.941
O5 O 0.082 0.273 0.193
O6 O 0.088 0.096 0.545
O7 O 0.092 0.464 0.699
O8 O 0.101 0.217 0.751
O9 O 0.179 0.310 0.537
O10 O 0.184 0.445 0.009
O11 O 0.200 0.177 0.078
O12 O 0.201 0.423 0.333
O13 O 0.231 0.174 0.336
O14 O 0.237 0.089 0.860



# BaTa2CuC, single point on PBEsol structure, DFT meta-GGA SCAN
# * E: -176.5 eV for the cell shown
# * N(E_F): 1.204 states/eV/atom
data_BaTa2CuC
_space_group_name_H-M_alt 'P 4/m m m'
_space_group_IT_number 123
_space_group_name_Hall '-P 4 2'
_cell_length_a 5.068
_cell_length_b 5.068
_cell_length_c 4.736
_cell_angle_alpha 90.00
_cell_angle_beta 90.00
_cell_angle_gamma 90.00
loop_
_atom_site_label
_atom_site_type_symbol
_atom_site_fract_x
_atom_site_fract_y
_atom_site_fract_z
Ba1 Ba 0.000 0.000 0.000
Ta1 Ta 0.000 0.500 0.000
Cu1 Cu 0.000 0.000 0.500
C1 C 0.500 0.500 0.500



# BaYCuC2, single point on PBEsol structure, DFT meta-GGA SCAN
# * E: -93.0 eV for the cell shown
# * N(E_F): 0.676 states/eV/atom
data_BaYCuC2
_space_group_name_H-M_alt 'P 4/m m m'
_space_group_IT_number 123
_space_group_name_Hall '-P 4 2'
_cell_length_a 4.435
_cell_length_b 4.435
_cell_length_c 6.724
_cell_angle_alpha 90.00
_cell_angle_beta 90.00
_cell_angle_gamma 90.00
loop_
_atom_site_label
_atom_site_type_symbol
_atom_site_fract_x
_atom_site_fract_y
_atom_site_fract_z
Ba1 Ba 0.000 0.000 0.000
Y1 Y 0.000 0.000 0.500
Cu1 Cu 0.500 0.500 0.000
C1 C 0.000 0.500 0.500



# BaZr2CuC, single point on PBEsol structure, DFT meta-GGA SCAN
# * E: -120.6 eV for the cell shown
# * N(E_F): 0.987 states/eV/atom
data_BaZr2CuC
_space_group_name_H-M_alt 'P 4/m m m'
_space_group_IT_number 123
_space_group_name_Hall '-P 4 2'
_cell_length_a 5.270
_cell_length_b 5.270
_cell_length_c 3.575
_cell_angle_alpha 90.00
_cell_angle_beta 90.00
_cell_angle_gamma 90.00
loop_
_atom_site_label
_atom_site_type_symbol
_atom_site_fract_x
_atom_site_fract_y
_atom_site_fract_z
Ba1 Ba 0.000 0.000 0.000
Zr1 Zr 0.000 0.500 0.500
Cu1 Cu 0.500 0.500 0.500
C1 C 0.500 0.500 0.000



# BaC3F, single point on PBEsol structure, DFT meta-GGA SCAN
# * E: -56.7 eV for the cell shown
# * energy relative to the elements, uncorrected: 3.330 eV per atom
# * N(E_F): 3.706 states/eV/atom
data_BaC3F
_space_group_name_H-M_alt 'P m -3 m'
_space_group_IT_number 221
_space_group_name_Hall '-P 4 2 3'
_cell_length_a 5.621
_cell_length_b 5.621
_cell_length_c 5.621
_cell_angle_alpha 90.00
_cell_angle_beta 90.00
_cell_angle_gamma 90.00
loop_
_atom_site_label
_atom_site_type_symbol
_atom_site_fract_x
_atom_site_fract_y
_atom_site_fract_z
Ba1 Ba 0.000 0.000 0.000
C1 C 0.000 0.000 0.500
F1 F 0.500 0.500 0.500



# BaCF2, single point on PBEsol structure, DFT meta-GGA SCAN
# * E: -183.8 eV for the cell shown
# * energy relative to the elements, uncorrected: -1.130 eV per atom
# * N(E_F): 1.115 states/eV/atom
data_BaCF2
_space_group_name_H-M_alt 'R -3 m'
_space_group_IT_number 166
_space_group_name_Hall '-R 3 2"'
_cell_length_a 4.3529
_cell_length_b 4.3529
_cell_length_c 11.4943
_cell_angle_alpha 90.00
_cell_angle_beta 90.00
_cell_angle_gamma 120.00
loop_
_atom_site_label
_atom_site_type_symbol
_atom_site_fract_x
_atom_site_fract_y
_atom_site_fract_z
Ba1 Ba 0.0000 0.0000 0.0000
C1 C 0.0000 0.0000 0.5000
F1 F 0.0000 0.0000 0.2383